Record 1
Compound: TlCd
Source: Alexandria
Functional: GGA-PBEsol
Structure: relaxed

**Raw total energy**: -1.854 eV/atom
**Density of states at the Fermi level**: 2.00 states/eV/cell
**Magnetization**: 0.00 μB/atom

a = 3.481 Å, b = 4.749 Å, c = 6.302 Å
α = 90.00°, β = 106.03°, γ = 90.00°
Fractional positions:
Cd1 0.428 0.250 0.856
Cd2 0.572 0.750 0.144
Tl1 0.834 0.750 0.668
Tl2 0.166 0.250 0.332

Record 2
Compound: TlCd
Source: Alexandria
Functional: GGA-PBEsol
Structure: relaxed

**Raw total energy**: -1.842 eV/atom
**Density of states at the Fermi level**: 9.58 states/eV/cell
**Magnetization**: 0.00 μB/atom

a = 6.246 Å, b = 8.645 Å, c = 11.230 Å
α = 90.00°, β = 90.00°, γ = 90.00°
Fractional positions:
Tl1 0.750 0.538 0.839
Tl2 0.750 0.655 0.319
Tl3 0.000 0.750 0.636
Tl4 0.000 0.250 0.364
Tl5 0.250 0.345 0.681
Tl6 0.750 0.038 0.161
Tl7 0.250 0.845 0.319
Tl8 0.500 0.750 0.636
Tl9 0.500 0.250 0.364
Tl10 0.750 0.155 0.681
Tl11 0.250 0.962 0.839
Tl12 0.250 0.462 0.161
Cd1 0.000 0.250 0.937
Cd2 0.750 0.424 0.120
Cd3 0.750 0.458 0.550
Cd4 0.250 0.042 0.550
Cd5 0.750 0.924 0.880
Cd6 0.000 0.750 0.063
Cd7 0.500 0.750 0.063
Cd8 0.500 0.250 0.937
Cd9 0.750 0.958 0.450
Cd10 0.250 0.076 0.120
Cd11 0.250 0.542 0.450
Cd12 0.250 0.576 0.880

Record 3
Compound: TlCd
Source: Alexandria
Functional: GGA-PBEsol
Structure: relaxed

**Raw total energy**: -1.824 eV/atom
**Density of states at the Fermi level**: 3.31 states/eV/cell
**Magnetization**: 0.00 μB/atom

a = 5.876 Å, b = 5.876 Å, c = 5.876 Å
α = 90.00°, β = 90.00°, γ = 90.00°
Fractional positions:
Cd1 0.904 0.096 0.596
Cd2 0.404 0.404 0.404
Cd3 0.596 0.904 0.096
Cd4 0.096 0.596 0.904
Tl1 0.596 0.404 0.904
Tl2 0.404 0.904 0.596
Tl3 0.904 0.596 0.404
Tl4 0.096 0.096 0.096

Record 4
Compound: TlCd
Source: Alexandria
Functional: GGA-PBEsol
Structure: relaxed

**Raw total energy**: -1.837 eV/atom
**Density of states at the Fermi level**: 2.12 states/eV/cell
**Magnetization**: 0.00 μB/atom

a = 4.636 Å, b = 4.636 Å, c = 5.659 Å
α = 114.18°, β = 114.18°, γ = 90.00°
Fractional positions:
Tl1 0.500 0.500 0.000
Tl2 0.750 0.250 0.500
Cd1 0.000 0.000 0.000
Cd2 0.250 0.750 0.500

Record 5
Compound: TlCd
Source: Alexandria
Functional: GGA-PBEsol
Structure: relaxed

**Raw total energy**: -1.857 eV/atom
**Density of states at the Fermi level**: 1.58 states/eV/cell
**Magnetization**: 0.00 μB/atom

a = 3.276 Å, b = 5.537 Å, c = 5.999 Å
α = 107.24°, β = 105.84°, γ = 90.00°
Fractional positions:
Cd1 0.642 0.856 0.283
Cd2 0.358 0.144 0.717
Tl1 0.888 0.660 0.777
Tl2 0.112 0.340 0.223

Record 6
Compound: TlCd
Source: Alexandria
Functional: GGA-PBEsol
Structure: relaxed

**Raw total energy**: -1.882 eV/atom
**Density of states at the Fermi level**: 1.51 states/eV/cell
**Magnetization**: 0.00 μB/atom

a = 3.273 Å, b = 3.273 Å, c = 9.195 Å
α = 90.00°, β = 90.00°, γ = 90.00°
Fractional positions:
Cd1 0.500 0.000 0.106
Cd2 0.000 0.500 0.894
Tl1 0.000 0.500 0.356
Tl2 0.500 0.000 0.644

Record 7
Compound: Tl4Cd
Source: Alexandria
Functional: GGA-PBEsol
Structure: relaxed

**Raw total energy**: -2.287 eV/atom
**Density of states at the Fermi level**: 4.96 states/eV/cell
**Magnetization**: 0.00 μB/atom
**Energy above the lowest structure with this stoichiometry**: 9 meV per atom

a = 6.444 Å, b = 6.444 Å, c = 6.664 Å
α = 90.00°, β = 90.00°, γ = 90.00°
Fractional positions:
Cd1 0.000 0.000 0.000
Cd2 0.500 0.500 0.500
Tl1 0.108 0.278 0.358
Tl2 0.222 0.392 0.858
Tl3 0.892 0.722 0.358
Tl4 0.608 0.222 0.142
Tl5 0.778 0.608 0.858
Tl6 0.392 0.778 0.142
Tl7 0.278 0.892 0.642
Tl8 0.722 0.108 0.642

Record 8
Compound: TlCd8
Source: Alexandria
Functional: GGA-PBEsol
Structure: relaxed

**Raw total energy**: -1.323 eV/atom
**Density of states at the Fermi level**: 3.10 states/eV/cell
**Magnetization**: 0.00 μB/atom

a = 4.442 Å, b = 6.992 Å, c = 6.992 Å
α = 84.21°, β = 71.48°, γ = 71.48°
Fractional positions:
Cd1 0.328 0.344 0.000
Cd2 0.000 0.338 0.662
Cd3 0.338 0.662 0.662
Cd4 0.000 0.662 0.338
Cd5 0.662 0.338 0.338
Cd6 0.328 0.000 0.344
Cd7 0.672 0.000 0.656
Cd8 0.672 0.656 0.000
Tl1 0.000 0.000 0.000

Record 9
Compound: TlCd
Source: Alexandria
Functional: GGA-PBEsol
Structure: relaxed

**Raw total energy**: -1.864 eV/atom
**Density of states at the Fermi level**: 1.57 states/eV/cell
**Magnetization**: 0.00 μB/atom

a = 3.291 Å, b = 3.291 Å, c = 10.597 Å
α = 90.00°, β = 90.00°, γ = 120.00°
Fractional positions:
Cd1 0.333 0.667 0.110
Cd2 0.667 0.333 0.890
Tl1 0.667 0.333 0.357
Tl2 0.333 0.667 0.643

Record 10
Compound: Tl4Cd5
Source: Alexandria
Functional: GGA-PBEsol
Structure: relaxed

**Raw total energy**: -1.737 eV/atom
**Density of states at the Fermi level**: 7.84 states/eV/cell
**Magnetization**: 0.00 μB/atom
**Energy above the lowest structure with this stoichiometry**: 41 meV per atom

a = 6.228 Å, b = 9.110 Å, c = 9.110 Å
α = 120.00°, β = 90.00°, γ = 90.00°
Fractional positions:
Tl1 0.250 0.000 0.651
Tl2 0.750 0.000 0.349
Tl3 0.750 0.651 0.651
Tl4 0.750 0.349 0.000
Tl5 0.250 0.651 0.000
Tl6 0.000 0.000 0.000
Tl7 0.250 0.349 0.349
Tl8 0.500 0.000 0.000
Cd1 0.250 0.324 0.000
Cd2 0.500 0.667 0.333
Cd3 0.750 0.000 0.676
Cd4 0.250 0.676 0.676
Cd5 0.500 0.333 0.667
Cd6 0.000 0.667 0.333
Cd7 0.000 0.333 0.667
Cd8 0.250 0.000 0.324
Cd9 0.750 0.324 0.324
Cd10 0.750 0.676 0.000

Record 11
Compound: Tl5Cd3
Source: Alexandria
Functional: GGA-PBEsol
Structure: relaxed

**Raw total energy**: -2.036 eV/atom
**Density of states at the Fermi level**: 6.50 states/eV/cell
**Magnetization**: 0.00 μB/atom
**Energy above the lowest structure with this stoichiometry**: 0 meV per atom

a = 6.042 Å, b = 8.836 Å, c = 8.836 Å
α = 83.29°, β = 70.01°, γ = 70.01°
Fractional positions:
Cd1 0.331 0.839 0.500
Cd2 0.169 0.500 0.161
Cd3 0.250 0.000 0.000
Cd4 0.831 0.500 0.839
Cd5 0.669 0.161 0.500
Cd6 0.750 0.000 0.000
Tl1 0.775 0.300 0.151
Tl2 0.075 0.151 0.700
Tl3 0.225 0.700 0.849
Tl4 0.750 0.500 0.500
Tl5 0.250 0.500 0.500
Tl6 0.575 0.700 0.151
Tl7 0.425 0.300 0.849
Tl8 0.275 0.151 0.300
Tl9 0.925 0.849 0.300
Tl10 0.725 0.849 0.700

Record 12
Compound: Tl4Cd5
Source: Alexandria
Functional: GGA-PBEsol
Structure: relaxed

**Raw total energy**: -1.778 eV/atom
**Density of states at the Fermi level**: 3.95 states/eV/cell
**Magnetization**: 0.00 μB/atom
**Energy above the lowest structure with this stoichiometry**: 0 meV per atom

a = 4.620 Å, b = 7.276 Å, c = 7.276 Å
α = 84.22°, β = 71.49°, γ = 71.49°
Fractional positions:
Tl1 0.000 0.322 0.678
Tl2 0.322 0.678 0.678
Tl3 0.000 0.678 0.322
Tl4 0.678 0.322 0.322
Cd1 0.339 0.000 0.323
Cd2 0.339 0.323 0.000
Cd3 0.661 0.677 0.000
Cd4 0.661 0.000 0.677
Cd5 0.000 0.000 0.000

Record 13
Compound: TlCd
Source: Alexandria
Functional: GGA-PBEsol
Structure: relaxed

**Raw total energy**: -1.844 eV/atom
**Density of states at the Fermi level**: 0.81 states/eV/cell
**Magnetization**: 0.00 μB/atom

a = 3.294 Å, b = 3.294 Å, c = 5.602 Å
α = 72.90°, β = 72.90°, γ = 60.00°
Fractional positions:
Tl1 0.500 0.500 0.500
Cd1 0.000 0.000 0.000

Record 14
Compound: Tl7Cd
Source: Alexandria
Functional: GGA-PBEsol
Structure: relaxed

**Raw total energy**: -2.411 eV/atom
**Density of states at the Fermi level**: 4.55 states/eV/cell
**Magnetization**: 0.00 μB/atom

a = 6.744 Å, b = 6.744 Å, c = 6.744 Å
α = 60.00°, β = 60.00°, γ = 60.00°
Fractional positions:
Tl1 0.500 0.500 0.500
Tl2 0.500 0.500 0.000
Tl3 0.000 0.500 0.000
Tl4 0.000 0.500 0.500
Tl5 0.500 0.000 0.000
Tl6 0.500 0.000 0.500
Tl7 0.000 0.000 0.500
Cd1 0.000 0.000 0.000

Record 15
Compound: TlCd4
Source: Alexandria
Functional: GGA-PBEsol
Structure: relaxed

**Raw total energy**: -1.390 eV/atom
**Density of states at the Fermi level**: 6.06 states/eV/cell
**Magnetization**: 0.00 μB/atom
**Energy above the lowest structure with this stoichiometry**: 17 meV per atom

a = 8.566 Å, b = 8.566 Å, c = 8.566 Å
α = 109.47°, β = 109.47°, γ = 109.47°
Fractional positions:
Cd1 0.650 0.650 0.000
Cd2 0.000 0.223 0.000
Cd3 0.250 0.750 0.500
Cd4 0.750 0.250 0.500
Cd5 0.350 0.350 0.000
Cd6 0.223 0.000 0.000
Cd7 0.500 0.250 0.750
Cd8 0.350 0.000 0.350
Cd9 0.000 0.350 0.350
Cd10 0.250 0.500 0.750
Cd11 0.000 0.650 0.650
Cd12 0.500 0.750 0.250
Cd13 0.750 0.500 0.250
Cd14 0.650 0.000 0.650
Cd15 0.000 0.000 0.223
Cd16 0.777 0.777 0.777
Tl1 0.000 0.000 0.577
Tl2 0.000 0.577 0.000
Tl3 0.423 0.423 0.423
Tl4 0.577 0.000 0.000

Record 16
Compound: Tl4Cd
Source: Alexandria
Functional: GGA-PBEsol
Structure: relaxed

**Raw total energy**: -2.296 eV/atom
**Density of states at the Fermi level**: 2.77 states/eV/cell
**Magnetization**: 0.00 μB/atom
**Energy above the lowest structure with this stoichiometry**: 0 meV per atom

a = 4.870 Å, b = 5.780 Å, c = 5.780 Å
α = 79.78°, β = 65.08°, γ = 65.08°
Fractional positions:
Tl1 0.201 0.407 0.192
Tl2 0.608 0.192 0.593
Tl3 0.392 0.808 0.407
Tl4 0.799 0.593 0.808
Cd1 0.000 0.000 0.000

Record 17
Compound: Tl5Cd3
Source: Alexandria
Functional: GGA-PBEsol
Structure: relaxed

**Raw total energy**: -2.027 eV/atom
**Density of states at the Fermi level**: 3.54 states/eV/cell
**Magnetization**: 0.00 μB/atom
**Energy above the lowest structure with this stoichiometry**: 9 meV per atom

a = 4.792 Å, b = 6.576 Å, c = 6.576 Å
α = 97.15°, β = 90.00°, γ = 90.00°
Fractional positions:
Tl1 0.000 0.000 0.500
Tl2 0.500 0.734 0.734
Tl3 0.000 0.000 0.000
Tl4 0.500 0.266 0.266
Tl5 0.000 0.500 0.000
Cd1 0.500 0.243 0.757
Cd2 0.500 0.757 0.243
Cd3 0.000 0.500 0.500

Record 18
Compound: TlCd
Source: Alexandria
Functional: GGA-PBEsol
Structure: relaxed

**Raw total energy**: -1.837 eV/atom
**Density of states at the Fermi level**: 0.91 states/eV/cell
**Magnetization**: 0.00 μB/atom

a = 3.265 Å, b = 3.265 Å, c = 5.403 Å
α = 90.00°, β = 90.00°, γ = 120.00°
Fractional positions:
Tl1 0.333 0.667 0.500
Cd1 0.000 0.000 0.000

Record 19
Compound: TlCd
Source: Alexandria
Functional: GGA-PBEsol
Structure: relaxed

**Raw total energy**: -1.837 eV/atom
**Density of states at the Fermi level**: 1.84 states/eV/cell
**Magnetization**: 0.00 μB/atom

a = 3.360 Å, b = 5.393 Å, c = 5.504 Å
α = 90.00°, β = 90.00°, γ = 90.00°
Fractional positions:
Cd1 0.000 0.750 0.669
Cd2 0.000 0.250 0.331
Tl1 0.500 0.750 0.179
Tl2 0.500 0.250 0.821

Record 20
Compound: TlCd7
Source: Alexandria
Functional: GGA-PBEsol
Structure: relaxed

**Raw total energy**: -1.333 eV/atom
**Density of states at the Fermi level**: 3.09 states/eV/cell
**Magnetization**: 0.00 μB/atom

a = 6.269 Å, b = 6.269 Å, c = 6.269 Å
α = 60.00°, β = 60.00°, γ = 60.00°
Fractional positions:
Tl1 0.000 0.000 0.000
Cd1 0.500 0.000 0.000
Cd2 0.000 0.500 0.000
Cd3 0.500 0.500 0.500
Cd4 0.000 0.000 0.500
Cd5 0.500 0.500 0.000
Cd6 0.000 0.500 0.500
Cd7 0.500 0.000 0.500

Record 21
Compound: TlCd
Source: Alexandria
Functional: GGA-PBEsol
Structure: relaxed

**Raw total energy**: -1.853 eV/atom
**Density of states at the Fermi level**: 2.59 states/eV/cell
**Magnetization**: 0.00 μB/atom

a = 3.228 Å, b = 6.236 Å, c = 8.108 Å
α = 107.54°, β = 90.00°, γ = 105.00°
Fractional positions:
Cd1 0.667 0.334 0.300
Cd2 0.007 0.014 0.997
Cd3 0.596 0.192 0.752
Tl1 0.304 0.608 0.649
Tl2 0.966 0.931 0.411
Tl3 0.294 0.588 0.058

Record 22
Compound: Tl5Cd3
Source: Alexandria
Functional: GGA-PBEsol
Structure: relaxed

**Raw total energy**: -2.023 eV/atom
**Density of states at the Fermi level**: 6.71 states/eV/cell
**Magnetization**: 0.00 μB/atom
**Energy above the lowest structure with this stoichiometry**: 13 meV per atom

a = 6.264 Å, b = 8.809 Å, c = 8.809 Å
α = 120.00°, β = 90.00°, γ = 90.00°
Fractional positions:
Tl1 0.000 0.667 0.333
Tl2 0.250 0.229 0.229
Tl3 0.000 0.333 0.667
Tl4 0.500 0.333 0.667
Tl5 0.250 0.000 0.771
Tl6 0.750 0.771 0.771
Tl7 0.750 0.229 0.000
Tl8 0.750 0.000 0.229
Tl9 0.500 0.667 0.333
Tl10 0.250 0.771 0.000
Cd1 0.250 0.406 0.000
Cd2 0.750 0.594 0.000
Cd3 0.750 0.406 0.406
Cd4 0.250 0.000 0.406
Cd5 0.250 0.594 0.594
Cd6 0.750 0.000 0.594

Record 23
Compound: TlCd
Source: Alexandria
Functional: GGA-PBEsol
Structure: relaxed

**Raw total energy**: -1.837 eV/atom
**Density of states at the Fermi level**: 1.65 states/eV/cell
**Magnetization**: 0.00 μB/atom

a = 3.312 Å, b = 5.472 Å, c = 5.503 Å
α = 90.00°, β = 90.00°, γ = 90.00°
Fractional positions:
Tl1 0.500 0.000 0.087
Tl2 0.000 0.500 0.913
Cd1 0.000 0.000 0.579
Cd2 0.500 0.500 0.421

Record 24
Compound: Tl2CdW
Source: Alexandria
Functional: GGA-PBEsol
Structure: relaxed

**Raw total energy**: -3.980 eV/atom
**Density of states at the Fermi level**: 3.81 states/eV/cell
**Magnetization**: 0.39 μB/atom
**Energy above the lowest structure with this stoichiometry**: 457 meV per atom

a = 4.921 Å, b = 4.921 Å, c = 4.921 Å
α = 60.00°, β = 60.00°, γ = 60.00°
Fractional positions:
W1 0.500 0.500 0.500
Tl1 0.250 0.250 0.250
Tl2 0.750 0.750 0.750
Cd1 0.000 0.000 0.000

The calculation returns the following formation energy from the elements values, one per record and in order: 0.06, 0.07, 0.09, 0.08, 0.06, 0.03, 0.06, 0.03, 0.05, 0.10, 0.06, 0.06, 0.07, 0.04, 0.09, 0.05, 0.07, 0.08, 0.08, 0.04, 0.06, 0.07, 0.08, 1.09 eV per atom.